Entry 1:
Density functional theory data (GGA-PBE) for CsNpI3 after structural relaxation.

Energy relative to the elements, uncorrected = -1.022 eV/atom
Volume = 232.9 Å³/f.u.
Total magnetization = 10.0 μB per cell

extended XYZ file:
```
10
Lattice="6.757 0.000 0.000 0.000 7.726 -4.461 0.000 0.000 8.921" Properties=species:S:1:pos:R:3 pbc="T T T"
I 5.068 6.370 2.112
I 1.689 5.014 4.461
I 5.068 2.712 0.000
I 1.689 1.356 6.573
I 1.689 1.356 2.348
I 5.068 6.370 -2.112
Np 0.000 0.000 0.000
Np 3.379 0.000 0.000
Cs 1.689 5.151 0.000
Cs 5.068 2.575 4.461
```

Entry 2:
Density functional theory data (GGA-PBE) for MnBiTeI2 after structural relaxation.

Energy relative to the elements, uncorrected = 0.447 eV/atom
Volume = 143.2 Å³/f.u.
Total magnetization = 0.1 μB per cell

extended XYZ file:
```
5
Lattice="5.301 0.000 0.000 0.000 5.301 0.000 0.000 0.000 5.096" Properties=species:S:1:pos:R:3 pbc="T T T"
Bi 2.650 2.650 2.548
Te 0.000 0.000 2.548
Mn 0.000 0.000 0.000
I 0.000 2.650 0.000
I 2.650 0.000 0.000
```

Entry 3:
Density functional theory data (GGA-PBE) for Nd2Sm9Er after structural relaxation.

Volume = 403.8 Å³/f.u.
Total magnetization = 0.0 μB per cell
Formation energy from the elements = 0.018 eV per atom

extended XYZ file:
```
12
Lattice="5.125 0.000 0.000 0.000 5.125 0.000 0.000 0.000 15.374" Properties=species:S:1:pos:R:3 pbc="T T T"
Sm 2.563 2.563 0.000
Sm 2.563 0.000 2.527
Sm 2.563 2.563 5.104
Sm 2.563 0.000 12.847
Sm 0.000 2.563 7.687
Sm 0.000 2.563 12.847
Sm 2.563 2.563 10.269
Sm 0.000 2.563 2.527
Sm 2.563 0.000 7.687
Nd 0.000 0.000 5.105
Nd 0.000 0.000 10.268
Er 0.000 0.000 0.000
```

Entry 4:
Density functional theory data (GGA-PBE) for Dy7Ag3 after structural relaxation.

Volume = 280.1 Å³/f.u.
Total magnetization = 0.0 μB per cell
Formation energy from the elements = -0.120 eV per atom

extended XYZ file:
```
20
Lattice="6.343 0.000 0.000 0.000 8.745 -5.049 0.000 0.000 10.098" Properties=species:S:1:pos:R:3 pbc="T T T"
Ag 2.340 7.039 2.094
Ag 2.340 3.412 0.000
Ag 5.511 5.334 5.049
Ag 5.511 1.706 2.955
Ag 2.340 7.039 -2.094
Ag 5.511 1.706 7.144
Dy 0.946 4.086 7.077
Dy 2.684 1.104 1.912
Dy 5.856 7.641 3.137
Dy 3.708 2.915 5.049
Dy 0.946 4.086 3.021
Dy 4.117 4.659 -2.028
Dy 5.856 7.641 -3.137
Dy 5.856 2.208 0.000
Dy 2.684 6.537 5.049
Dy 0.536 5.830 0.000
Dy 4.117 8.172 0.000
Dy 4.117 4.659 2.028
Dy 2.684 1.104 8.186
Dy 0.946 0.573 5.049
```

Entry 5:
Density functional theory data (GGA-PBE) for CsAgO2F after structural relaxation.

Energy relative to the elements, uncorrected = 0.382 eV/atom
Volume = 142.2 Å³/f.u.
Total magnetization = 0.0 μB per cell

extended XYZ file:
```
5
Lattice="-2.577 -3.316 -0.447 3.454 -3.527 6.261 -2.802 1.830 2.576" Properties=species:S:1:pos:R:3 pbc="T T T"
Cs 0.000 0.000 0.000
O -1.288 -1.658 -0.223
O -1.401 0.915 1.288
F -0.962 -2.507 4.196
Ag 1.727 -1.764 3.131
```

Entry 6:
Density functional theory data (GGA-PBE) for In2PbSe2 after structural relaxation.

Energy relative to the elements, uncorrected = -0.128 eV/atom
Volume = 140.8 Å³/f.u.
Total magnetization = 0.0 μB per cell

extended XYZ file:
```
5
Lattice="-1.819 -3.717 -0.580 3.678 -1.892 0.590 -0.591 -3.294 7.909" Properties=species:S:1:pos:R:3 pbc="T T T"
Se 0.625 -6.006 6.424
Se 0.643 -2.897 1.495
In -0.740 -4.908 3.667
In 2.008 -3.995 4.252
Pb 0.000 0.000 0.000
```

Entry 7:
Density functional theory data (GGA-PBE) for ScGeNF after structural relaxation.

Energy relative to the elements, uncorrected = -1.768 eV/atom
Volume = 68.9 Å³/f.u.
Total magnetization = 0.0 μB per cell

extended XYZ file:
```
4
Lattice="-1.963 -2.224 1.296 3.039 -0.788 -0.794 1.404 2.964 6.980" Properties=species:S:1:pos:R:3 pbc="T T T"
F 0.149 -1.592 1.351
Sc 2.187 -0.798 1.756
N 1.111 0.721 2.732
Ge 1.689 1.215 4.456
```

Entry 8:
Density functional theory data (GGA-PBE) for Al2HgRh after structural relaxation.

Volume = 65.9 Å³/f.u.
Total magnetization = 0.0 μB per cell
Formation energy from the elements = -0.319 eV per atom

extended XYZ file:
```
4
Lattice="-2.856 -0.205 -1.176 1.461 -0.963 -3.381 -0.209 -5.400 1.448" Properties=species:S:1:pos:R:3 pbc="T T T"
Al -0.749 -1.916 -1.921
Al -0.202 -5.213 1.398
Hg -0.101 -2.603 0.698
Rh -0.866 -4.934 -1.112
```

Entry 9:
Density functional theory data (GGA-PBE) for TbPrErTm2 after structural relaxation.

Volume = 171.6 Å³/f.u.
Total magnetization = 0.0 μB per cell
Formation energy from the elements = 0.379 eV per atom

extended XYZ file:
```
10
Lattice="-1.714 6.937 -0.697 -4.773 -1.844 -6.606 -2.105 0.159 6.761" Properties=species:S:1:pos:R:3 pbc="T T T"
Tm -1.487 -0.575 -2.058
Tm -4.143 2.199 -4.896
Tm -3.286 -1.269 -4.548
Tm -2.345 2.894 -2.407
Er -2.953 1.306 1.769
Er -5.640 3.947 -2.311
Pr -3.720 4.789 1.351
Pr -4.873 0.463 -1.893
Tb -8.153 3.520 -0.376
Tb -0.439 1.732 -0.166
```

Entry 10:
Density functional theory data (GGA-PBE) for Zr2Zn after structural relaxation.

Volume = 62.0 Å³/f.u.
Total magnetization = 0.0 μB per cell
Formation energy from the elements = 0.009 eV per atom

extended XYZ file:
```
6
Lattice="12.067 5.952 -0.900 10.198 8.607 1.944 -10.407 -8.506 1.099" Properties=species:S:1:pos:R:3 pbc="T T T"
Zn 0.000 0.000 0.000
Zn 6.396 2.363 0.360
Zr 9.476 6.196 0.444
Zr 7.119 4.774 1.860
Zr 3.805 2.607 1.705
Zr 12.789 8.363 0.600
```

Entry 11:
Density functional theory data (GGA-PBE) for In6Hg12Cl after structural relaxation.

Energy relative to the elements, uncorrected = -0.048 eV/atom
Volume = 539.4 Å³/f.u.
Total magnetization = 0.0 μB per cell

extended XYZ file:
```
19
Lattice="-4.807 -4.800 3.884 6.012 -4.972 0.926 3.441 3.217 7.559" Properties=species:S:1:pos:R:3 pbc="T T T"
In 1.943 -5.870 6.157
In 2.703 -0.684 6.213
In 6.920 -3.153 7.890
In 4.597 -3.542 3.130
In 0.048 -3.013 9.239
In -2.274 -3.402 4.479
Hg 3.237 -3.386 9.409
Hg -0.857 -6.153 4.844
Hg 2.596 -6.119 3.201
Hg 3.946 -3.438 6.299
Hg 2.036 -6.821 8.982
Hg -0.282 -0.780 4.077
Hg 1.408 -3.169 2.960
Hg 5.503 -0.402 7.525
Hg 2.610 0.266 3.388
Hg 0.700 -3.117 6.070
Hg 4.927 -5.774 8.292
Hg 2.049 -0.436 9.168
Cl 0.000 0.000 0.000
```

Entry 12:
Density functional theory data (GGA-PBE) for LiAc2Be3Si4 after structural relaxation.

Energy relative to the elements, uncorrected = -0.320 eV/atom
Volume = 177.9 Å³/f.u.
Total magnetization = 0.0 μB per cell

extended XYZ file:
```
10
Lattice="-1.318 -0.436 4.021 3.794 -1.599 1.070 3.239 9.054 2.044" Properties=species:S:1:pos:R:3 pbc="T T T"
Be 2.188 7.740 3.807
Be 2.289 0.296 0.783
Be 1.619 4.527 1.022
Ac 0.146 2.033 2.519
Ac 4.331 6.003 2.071
Si 3.079 2.503 1.281
Si 0.000 0.000 0.000
Si 1.238 -1.018 2.546
Si 1.398 5.533 3.309
Li 2.857 3.509 3.568
```

Entry 13:
Density functional theory data (GGA-PBE) for Ho6Tc2Ag after structural relaxation.

Volume = 229.3 Å³/f.u.
Total magnetization = 0.0 μB per cell
Formation energy from the elements = -0.123 eV per atom

extended XYZ file:
```
18
Lattice="7.886 0.017 -2.959 -4.125 6.955 -2.358 -0.165 -0.017 8.421" Properties=species:S:1:pos:R:3 pbc="T T T"
Ho 5.303 1.621 -2.682
Ho 0.599 1.604 2.527
Ho -1.828 6.797 2.585
Ho -0.249 4.242 0.352
Ho 2.998 5.351 0.577
Ho 4.154 5.005 -2.788
Ho 5.425 0.158 0.520
Ho 3.845 2.713 2.753
Ho 1.082 4.988 3.576
Ho 2.515 1.967 -0.472
Ho -0.557 1.950 5.893
Ho -1.707 5.334 5.787
Ag 0.000 0.000 0.000
Ag -2.145 3.469 3.032
Tc 4.870 0.000 3.445
Tc 2.221 2.652 5.049
Tc 1.375 4.304 -1.944
Tc 2.852 0.000 2.017
```

Entry 14:
Density functional theory data (GGA-PBE) for H3I2F2 after structural relaxation.

DFT total energy = -3.226 eV per atom
Volume = 184.5 Å³/f.u.
Total magnetization = 0.0 μB per cell

extended XYZ file:
```
7
Lattice="6.476 0.000 0.000 0.000 4.753 -1.672 -3.238 -3.024 7.056" Properties=species:S:1:pos:R:3 pbc="T T T"
I 3.238 3.255 1.674
I 0.000 -1.526 3.710
H 3.238 -0.113 4.721
H 0.000 0.000 0.000
H 0.000 1.842 0.664
F 3.238 0.597 5.588
F 0.000 1.132 -0.204
```

Entry 15:
Density functional theory data (GGA-PBE) for BaHAu after structural relaxation.

DFT total energy = -3.184 eV per atom
Volume = 79.5 Å³/f.u.
Total magnetization = 0.0 μB per cell

extended XYZ file:
```
3
Lattice="3.936 0.000 0.000 0.000 3.936 0.000 -1.968 -1.968 5.132" Properties=species:S:1:pos:R:3 pbc="T T T"
Ba 1.968 1.968 2.206
Au 0.000 0.000 0.325
H 0.000 0.000 2.601
```

Entry 16:
Density functional theory data (GGA-PBE) for ErTm2PuSe4 after structural relaxation.

Energy relative to the elements, uncorrected = -1.661 eV/atom
Volume = 188.1 Å³/f.u.
Total magnetization = 6.0 μB per cell

extended XYZ file:
```
8
Lattice="4.030 0.000 0.000 0.000 7.023 0.141 0.000 -2.434 6.595" Properties=species:S:1:pos:R:3 pbc="T T T"
Se 2.015 1.120 1.715
Se 0.000 -0.096 4.931
Se 0.000 4.684 1.805
Se 2.015 3.469 5.020
Tm 2.015 -1.217 3.297
Tm 0.000 2.294 3.368
Er 0.000 0.000 0.000
Pu 2.015 3.512 0.071
```

Entry 17:
Density functional theory data (GGA-PBE) for LiNp2Ni3P4 after structural relaxation.

Volume = 146.9 Å³/f.u.
Total magnetization = 7.4 μB per cell
Formation energy from the elements = -0.704 eV per atom

extended XYZ file:
```
10
Lattice="4.029 0.000 0.000 0.000 4.029 0.000 0.000 0.000 9.053" Properties=species:S:1:pos:R:3 pbc="T T T"
Ni 0.000 2.014 0.993
Ni 0.000 0.000 4.526
Ni 2.014 0.000 8.060
Np 0.000 2.014 6.839
Np 2.014 0.000 2.214
P 2.014 0.000 5.802
P 0.000 2.014 3.251
P 0.000 0.000 0.000
P 2.014 2.014 0.000
Li 2.014 2.014 4.526
```

Entry 18:
Density functional theory data (GGA-PBE) for LaZn2AsO2 after structural relaxation.

Energy relative to the elements, uncorrected = -0.620 eV/atom
Volume = 167.2 Å³/f.u.
Total magnetization = 0.3 μB per cell

extended XYZ file:
```
6
Lattice="3.672 0.000 0.000 0.000 3.672 0.000 0.000 0.000 12.407" Properties=species:S:1:pos:R:3 pbc="T T T"
La 1.836 1.836 6.204
Zn 1.836 1.836 10.117
Zn 1.836 1.836 2.290
O 1.836 1.836 8.335
O 1.836 1.836 4.072
As 1.836 1.836 0.000
```

Entry 19:
Density functional theory data (GGA-PBE) for TiV2Fe2 after structural relaxation.

Volume = 70.0 Å³/f.u.
Total magnetization = 0.5 μB per cell
Formation energy from the elements = 0.265 eV per atom

extended XYZ file:
```
5
Lattice="3.740 0.000 0.000 0.000 3.740 0.000 1.870 1.870 5.008" Properties=species:S:1:pos:R:3 pbc="T T T"
Fe 3.740 1.870 2.504
Fe 1.870 3.740 2.504
V 3.740 3.740 3.792
V 1.870 1.870 1.216
Ti 0.000 0.000 0.000
```

Entry 20:
Density functional theory data (GGA-PBE) for Tb2CBr after structural relaxation.

Energy relative to the elements, uncorrected = -0.944 eV/atom
Volume = 84.9 Å³/f.u.
Total magnetization = 0.0 μB per cell

extended XYZ file:
```
4
Lattice="3.693 0.000 0.000 1.846 3.198 0.000 1.846 1.066 7.187" Properties=species:S:1:pos:R:3 pbc="T T T"
Tb 1.846 1.066 1.298
Tb 1.846 1.066 5.896
C 5.539 3.198 7.157
Br 3.693 2.132 3.616
```